(1)
KNdP4O12 | the Open Quantum Materials Database | GGA-PBE | relaxed; raw total energy = -7.2674 eV per atom; magnetization = 0.00 μB per formula unit
1.0
4.053 -5.933 -1.069
-7.144 -1.207 0.525
0.573 4.565 -9.510
O P K Nd
24 8 2 2
Cartesian
1.236 -3.643 -2.356
-6.497 -0.621 -0.602
-0.965 -4.651 -4.624
-1.547 -0.307 -6.020
-4.483 -0.376 -5.400
1.932 -1.533 -7.169
1.916 0.226 -9.360
-1.685 -0.657 -8.972
-2.478 -0.106 -0.657
-3.754 1.068 -7.697
-0.833 -1.918 -1.081
-4.450 -1.041 -2.884
-0.971 -2.268 -4.032
-4.434 -2.801 -0.693
0.167 -3.041 -6.240
-1.553 2.076 -5.429
-1.897 2.369 -8.714
3.978 -1.954 -9.451
-2.685 0.467 -3.813
-0.621 -4.944 -1.339
1.965 -2.198 -4.653
-0.209 0.539 -3.976
-0.040 -2.469 -9.395
-2.309 -3.113 -6.077
-1.450 0.583 -4.816
1.694 -2.529 -6.089
-0.922 3.406 -9.480
-3.469 2.044 -8.783
-1.068 -3.158 -5.237
-1.596 -5.981 -0.573
-4.212 -0.046 -3.963
0.951 -4.619 -1.270
0.420 1.316 -7.377
-2.939 -3.891 -2.676
0.827 -1.259 -2.721
-3.345 -1.316 -7.332

=====

(2)
KNdPO | the Open Quantum Materials Database | GGA-PBE | relaxed; raw total energy = -5.4624 eV per atom; magnetization = 0.00 μB per formula unit; energy above the lowest structure with this stoichiometry = 0.00 eV per formula unit
1.0
-2.720 -2.329 -0.342
2.299 -1.609 -7.318
4.528 -5.679 2.672
Nd O K P
2 2 2 2
Cartesian
4.991 -8.015 -4.021
0.999 -3.965 0.143
2.289 -2.541 -0.894
5.662 -6.157 -3.089
3.969 -4.285 -2.380
1.501 -1.303 -3.066
1.892 -4.248 -5.024
2.865 -6.185 0.420

=====

(3)
KNdP4O12 | the Open Quantum Materials Database | GGA-PBE | relaxed; raw total energy = -7.2661 eV per atom; magnetization = 0.01 μB per formula unit
1.0
-3.894 2.414 5.712
1.811 -6.996 4.192
6.511 3.306 2.704
O P Nd K
24 8 2 2
Cartesian
7.016 -1.774 5.684
1.985 -0.997 5.273
3.377 3.013 7.197
1.656 0.537 8.547
1.780 4.873 7.579
5.666 -1.270 9.494
1.790 -2.832 3.041
3.398 0.861 6.165
-2.764 1.180 6.515
0.558 1.254 4.718
4.521 -1.032 4.978
-1.074 -2.604 9.515
3.234 -3.331 9.163
5.700 0.565 3.550
-0.743 0.858 2.068
-0.895 -1.328 3.906
4.334 1.099 8.602
1.876 1.650 1.985
3.589 -1.440 7.237
0.936 -3.840 5.141
3.490 -0.391 2.742
-0.926 2.978 5.699
1.100 -1.507 10.238
1.474 -3.846 7.467
4.775 -0.739 3.424
4.284 1.687 7.223
0.601 -4.724 6.439
3.286 -0.733 5.955
0.210 -2.687 10.472
2.690 3.943 8.310
1.463 -4.151 3.657
0.296 2.726 4.694
1.114 -0.441 3.053
3.339 -0.926 9.609
5.348 -3.561 7.419
-0.226 -0.391 6.792

=====

(4)
K2NdP5O15 | the Open Quantum Materials Database | GGA-PBE | relaxed; raw total energy = -7.1079 eV per atom; magnetization = 0.01 μB per formula unit
1.0
-5.166 1.756 4.554
4.931 -3.662 3.574
6.312 11.279 2.674
O P K Nd
30 10 4 2
Cartesian
5.075 3.002 4.421
-0.679 3.899 3.611
3.580 5.169 3.229
1.454 3.123 4.870
2.554 7.499 3.540
3.169 6.031 5.542
4.874 -1.685 4.006
5.520 8.612 3.668
5.680 8.188 6.103
1.527 3.422 2.412
0.599 6.238 6.946
2.194 0.359 1.932
1.228 5.458 3.940
2.719 -2.233 5.097
3.552 11.152 6.212
1.401 1.608 6.816
0.945 -0.109 4.114
7.289 6.956 4.481
7.087 6.411 7.280
-0.336 -0.063 1.966
9.842 7.523 5.926
-1.377 6.210 5.372
2.230 5.860 8.767
7.595 9.374 4.965
6.677 8.683 8.366
1.795 -1.240 7.166
1.662 4.041 7.209
-0.279 8.413 6.149
4.747 7.146 8.134
-0.602 3.204 6.383
6.204 3.480 3.575
-0.710 7.008 6.454
2.701 6.130 4.140
3.991 -2.847 4.355
0.871 2.936 6.373
1.071 -0.329 2.655
-3.102 1.141 2.835
0.818 3.935 3.621
6.065 7.481 7.512
6.509 8.214 4.712
3.457 0.847 4.595
2.671 8.602 6.315
-1.039 0.015 5.778
4.595 4.325 6.874
8.708 5.339 5.678
-2.607 4.078 5.133

=====

(5)
KNdPO | the Open Quantum Materials Database | GGA-PBE | relaxed; raw total energy = -5.4150 eV per atom; magnetization = 0.96 μB per formula unit; energy above the lowest structure with this stoichiometry = 0.19 eV per formula unit
1.0
5.173 0.000 0.000
0.000 7.176 0.000
0.000 0.000 6.355
Nd O P K
2 2 2 2
Cartesian
2.586 2.281 0.063
2.586 4.895 3.241
2.586 3.007 2.128
2.586 4.169 5.306
0.000 6.058 2.851
0.000 1.118 6.028
0.000 2.019 2.928
0.000 5.157 6.105

=====

(6)
KNdSO | the Open Quantum Materials Database | GGA-PBE | relaxed; raw total energy = -5.7604 eV per atom; magnetization = 0.00 μB per formula unit; energy above the lowest structure with this stoichiometry = 0.84 eV per formula unit
1.0
7.894 0.000 0.000
0.000 9.430 0.000
0.000 0.000 5.739
S Nd K O
4 4 4 4
Cartesian
4.663 3.542 0.364
3.231 5.889 3.234
0.716 5.889 0.364
7.178 3.542 3.234
4.369 3.272 3.231
3.525 6.158 0.361
0.422 6.158 3.231
7.472 3.272 0.361
7.009 8.587 0.335
4.832 8.587 3.205
0.885 0.844 3.205
3.062 0.844 0.335
4.415 8.020 0.374
0.468 1.410 0.374
7.426 8.020 3.243
3.479 1.410 3.243

=====

(7)
KNdSO | the Open Quantum Materials Database | GGA-PBE | relaxed; raw total energy = -5.9693 eV per atom; magnetization = 0.00 μB per formula unit; energy above the lowest structure with this stoichiometry = 0.00 eV per formula unit
1.0
-0.999 -0.339 7.508
4.268 -6.313 0.283
5.511 3.692 -0.763
Nd S K O
4 4 4 4
Cartesian
3.426 -3.272 4.013
7.238 -2.989 3.701
1.542 0.029 3.326
5.354 0.312 3.014
4.020 -5.437 5.838
3.401 -1.437 1.664
4.759 2.476 1.190
5.378 -1.523 5.363
5.934 -2.931 0.457
3.127 -4.701 0.836
5.653 1.740 6.192
2.845 -0.029 6.570
5.332 -4.094 2.891
3.448 1.134 4.136
7.235 -0.987 2.453
1.545 -1.974 4.574

=====

(8)
KNdSO | the Open Quantum Materials Database | GGA-PBE | relaxed; raw total energy = -5.7849 eV per atom; magnetization = 0.00 μB per formula unit; energy above the lowest structure with this stoichiometry = 0.74 eV per formula unit
1.0
-3.184 -2.668 0.123
2.645 -3.122 0.729
-0.900 1.526 9.798
Nd O S K
2 2 2 2
Cartesian
-0.236 -1.276 1.314
-1.204 -2.988 9.337
1.187 -3.009 0.578
-1.727 -2.782 0.275
-0.782 -0.351 7.252
-0.658 -3.913 3.398
-2.177 -2.019 5.174
0.737 -2.246 5.477

=====

(9)
KNdSO | the Open Quantum Materials Database | GGA-PBE | relaxed; raw total energy = -5.8538 eV per atom; magnetization = 0.00 μB per formula unit; energy above the lowest structure with this stoichiometry = 0.46 eV per formula unit
1.0
4.608 0.000 0.000
0.000 8.054 0.000
0.000 0.000 6.525
Nd K S O
2 2 2 2
Cartesian
2.304 1.094 3.542
2.304 6.960 0.279
0.000 2.456 0.724
0.000 5.598 3.987
0.000 5.606 0.846
0.000 2.448 4.109
2.304 0.825 1.354
2.304 7.229 4.617

=====

(10)
KNdS2O8 | the Open Quantum Materials Database | GGA-PBE | relaxed; raw total energy = -6.5513 eV per atom; magnetization = 0.01 μB per formula unit; energy above the lowest structure with this stoichiometry = 0.03 eV per formula unit
1.0
6.871 -0.002 0.037
-0.075 5.261 -0.005
-1.028 -0.342 8.908
Nd O K S
2 16 2 4
Cartesian
1.281 3.688 6.434
4.486 1.229 2.505
5.715 3.871 6.128
4.600 0.028 4.592
1.167 4.889 4.347
5.452 2.774 0.872
0.583 1.862 5.049
3.450 3.331 5.548
2.915 3.509 8.245
5.184 3.055 3.891
0.052 1.046 2.811
2.852 1.408 0.695
2.317 1.586 3.391
5.462 5.197 0.675
3.631 4.110 1.772
0.315 2.143 8.068
0.305 -0.280 8.264
2.136 0.807 7.168
0.971 3.744 1.680
4.796 1.173 7.259
1.164 0.936 8.300
1.045 1.038 3.918
4.722 3.879 5.022
4.603 3.981 0.640

=====

(11)
KNdSO | the Open Quantum Materials Database | GGA-PBE | relaxed; raw total energy = -5.9605 eV per atom; magnetization = 0.00 μB per formula unit; energy above the lowest structure with this stoichiometry = 0.04 eV per formula unit
1.0
-5.378 -2.212 -0.747
0.037 -1.958 5.531
-1.599 10.642 3.778
O K S Nd
4 4 4 4
Cartesian
-1.341 -0.757 0.390
-4.011 -2.842 2.782
-4.031 -1.864 0.018
-1.321 -1.736 3.157
-3.019 2.050 4.604
-5.726 1.927 1.468
-3.931 4.932 2.518
-1.224 5.054 5.656
-2.576 2.072 1.499
-5.250 -0.015 3.889
-1.699 6.996 3.235
-4.373 4.909 5.627
-0.413 -0.689 5.085
-6.519 6.747 4.647
-3.122 -0.816 1.946
-3.810 6.874 7.785

=====

(12)
KNdS2O8 | the Open Quantum Materials Database | GGA-PBE | relaxed; raw total energy = -6.5540 eV per atom; magnetization = 0.00 μB per formula unit; energy above the lowest structure with this stoichiometry = 0.00 eV per formula unit
1.0
-5.923 5.954 -0.753
-3.561 -2.852 5.458
5.671 5.873 6.769
O S Nd K
32 8 4 4
Cartesian
1.065 8.388 5.167
-4.262 3.382 0.626
0.449 5.593 10.848
-4.878 0.587 6.307
-1.947 5.902 4.809
2.677 4.315 8.409
-1.183 3.781 8.952
-1.817 0.601 1.441
-3.270 -0.996 5.307
-0.743 2.391 3.589
1.015 3.534 4.832
1.529 6.477 8.465
-6.490 4.660 3.065
2.481 5.639 6.377
-3.861 4.349 8.472
-0.330 4.895 7.067
-6.294 3.336 5.097
-4.827 5.441 6.642
-3.483 4.080 4.407
1.446 2.664 2.565
-0.404 7.642 6.842
-3.069 6.584 7.885
-0.543 9.971 6.168
-2.629 5.194 2.522
-4.152 6.415 3.968
-5.259 6.311 8.909
0.049 4.626 3.002
-1.996 8.375 10.033
0.339 2.560 7.506
-5.341 2.498 3.009
-1.865 3.074 6.665
-3.408 1.334 4.632
-0.749 3.513 7.523
-4.292 5.730 8.003
-6.470 3.320 3.611
0.369 8.878 6.420
2.658 5.656 7.863
-4.182 0.098 5.054
-3.064 5.462 3.951
0.480 3.245 3.471
-0.882 6.406 8.977
0.480 5.966 5.001
-2.930 2.569 2.497
-4.293 3.009 6.473
-0.754 0.566 5.788
-3.059 8.409 5.686
1.337 2.906 10.314
-5.150 6.069 1.160

=====

(13)
KNdSe2O8 | the Open Quantum Materials Database | GGA-PBE | relaxed; raw total energy = -5.8685 eV per atom; magnetization = 0.00 μB per formula unit
1.0
5.721 0.000 0.000
-2.861 4.955 0.000
0.000 0.000 7.398
Se O Nd K
2 8 1 1
Cartesian
0.000 3.303 2.124
2.861 1.652 5.274
2.861 1.652 3.637
4.203 0.877 5.896
1.518 0.877 5.896
0.000 1.753 1.502
-1.342 4.078 1.502
1.342 4.078 1.502
2.861 3.201 5.896
0.000 3.303 3.761
0.000 0.000 0.000
0.000 0.000 3.699

=====

(14)
KNdTa2O7 | the Open Quantum Materials Database | GGA-PBE | relaxed; raw total energy = -8.7515 eV per atom; magnetization = 0.00 μB per formula unit
1.0
-2.045 -10.708 3.389
3.042 10.998 0.374
-9.270 -6.598 0.937
O K Ta Nd
14 2 4 2
Cartesian
-2.003 -0.163 2.727
-6.456 -0.175 1.869
-4.313 -7.265 3.890
-0.112 2.729 2.004
-3.879 0.980 1.117
-4.233 -4.355 3.627
-1.189 -1.874 0.638
-1.745 -6.113 3.103
-3.968 -1.933 1.345
-4.955 3.538 1.194
-6.191 -6.123 2.269
-10.038 -15.408 4.021
-1.197 0.883 0.403
-8.082 -9.016 2.992
-2.872 -4.438 1.248
-8.371 -12.848 3.350
-5.809 1.470 1.582
-2.387 -7.757 3.410
-2.731 -0.704 0.934
-5.465 -5.583 4.058
0.533 0.155 2.013
-5.617 -8.642 2.315